No. 1
Material: Y2Pd2W
Method: DFT, PBE
State: optimized geometry

Results
Space group ... P4/mbm, No. 127
Uncorrected energy ... -74.5 eV per cell
Formation energy ... -199 meV/atom
M_tot ... 0.000 μB/cell

Cell: 6.9151 6.9151 4.4488 Å, 90.00 90.00 90.00°
Last column: nearest neighbours and their distance in Å.
Positions (direct):
Y 0.1760 0.3240 0.0000  6 Pd 2.88-3.12
Y 0.3240 0.8240 0.0000  6 Pd 2.88-3.12
Y 0.6760 0.1760 0.0000  6 Pd 2.88-3.12
Y 0.8240 0.6760 0.0000  6 Pd 2.88-3.12
Pd 0.1376 0.6376 0.5000  2 W 2.68, 1 Pd 2.69, 2 Y 2.88
Pd 0.3624 0.1376 0.5000  2 W 2.68, 1 Pd 2.69, 2 Y 2.88
Pd 0.6376 0.8624 0.5000  2 W 2.68, 1 Pd 2.69, 2 Y 2.88
Pd 0.8624 0.3624 0.5000  2 W 2.68, 1 Pd 2.69, 2 Y 2.88
W 0.0000 0.0000 0.5000  4 Pd 2.68
W 0.5000 0.5000 0.5000  4 Pd 2.68



No. 2
Material: YPdW3
Method: DFT, PBE
State: optimized geometry

Results
Space group ... Pm-3m, No. 221
Energy above the most stable polymorph in this dataset ... 0 meV per atom
Uncorrected energy ... -41.6 eV per cell
Formation energy ... 1793 meV/atom
M_tot ... 0.000 μB/cell

Cell: 4.8162 4.8162 4.8162 Å, 90.00 90.00 90.00°
Last column: nearest neighbours and their distance in Å.
Positions (direct):
Y 0.0000 0.0000 0.0000  12 W 3.41
Pd 0.5000 0.5000 0.5000  6 W 2.41
W 0.0000 0.5000 0.5000  2 Pd 2.41
W 0.5000 0.0000 0.5000  2 Pd 2.41
W 0.5000 0.5000 0.0000  2 Pd 2.41



No. 3
Material: ZnPdW3
Method: DFT, PBE
State: optimized geometry

Results
Space group ... Pm-3m, No. 221
Energy above the most stable polymorph in this dataset ... 0 meV per atom
Uncorrected energy ... -35.8 eV per cell
Formation energy ... 1905 meV/atom
M_tot ... 0.000 μB/cell

Cell: 4.5136 4.5136 4.5136 Å, 90.00 90.00 90.00°
Last column: nearest neighbours and their distance in Å.
Positions (direct):
Zn 0.0000 0.0000 0.0000  6 W 2.26
Pd 0.5000 0.5000 0.5000  12 W 3.19
W 0.0000 0.0000 0.5000  2 Zn 2.26
W 0.0000 0.5000 0.0000  2 Zn 2.26
W 0.5000 0.0000 0.0000  2 Zn 2.26



No. 4
Material: ZnPd3W
Method: DFT, PBE
State: optimized geometry

Results
Space group ... Pm-3m, No. 221
Energy above the most stable polymorph in this dataset ... 0 meV per atom
Uncorrected energy ... -24.5 eV per cell
Formation energy ... 1063 meV/atom
M_tot ... 3.926 μB/cell

Cell: 4.5353 4.5353 4.5353 Å, 90.00 90.00 90.00°
Last column: nearest neighbours and their distance in Å.
Positions (direct):
Zn 0.0000 0.0000 0.0000  6 Pd 2.27
Pd 0.0000 0.0000 0.5000  2 Zn 2.27
Pd 0.0000 0.5000 0.0000  2 Zn 2.27
Pd 0.5000 0.0000 0.0000  2 Zn 2.27
W 0.5000 0.5000 0.5000  12 Pd 3.21



No. 5
Material: Zn3PdW
Method: DFT, PBE
State: optimized geometry

Results
Space group ... Pm-3m, No. 221
Energy above the most stable polymorph in this dataset ... 0 meV per atom
Uncorrected energy ... -16.3 eV per cell
Formation energy ... 1128 meV/atom
M_tot ... 0.000 μB/cell

Cell: 4.5647 4.5647 4.5647 Å, 90.00 90.00 90.00°
Last column: nearest neighbours and their distance in Å.
Positions (direct):
Zn 0.0000 0.0000 0.5000  2 Pd 2.28
Zn 0.0000 0.5000 0.0000  2 Pd 2.28
Zn 0.5000 0.0000 0.0000  2 Pd 2.28
Pd 0.0000 0.0000 0.0000  6 Zn 2.28
W 0.5000 0.5000 0.5000  12 Zn 3.23



No. 6
Material: Zn3Pd12W
Method: DFT, PBE
State: optimized geometry

Results
Space group ... P4/mmm, No. 123
Uncorrected energy ... -83.3 eV per cell
Formation energy ... -264 meV/atom
M_tot ... 0.000 μB/cell

Cell: 3.9105 3.9105 15.7735 Å, 90.00 90.00 90.00°
Last column: nearest neighbours and their distance in Å.
Positions (direct):
Zn 0.0000 0.0000 0.0000  12 Pd 2.77
Zn 0.0000 0.0000 0.2452  12 Pd 2.73-2.87
Zn 0.0000 0.0000 0.7548  12 Pd 2.73-2.87
Pd 0.0000 0.5000 0.1246  4 Zn 2.73-2.77, 8 Pd 2.77-2.80
Pd 0.0000 0.5000 0.3787  2 W 2.74, 8 Pd 2.74-2.80, 2 Zn 2.87
Pd 0.0000 0.5000 0.6213  2 W 2.74, 8 Pd 2.74-2.80, 2 Zn 2.87
Pd 0.0000 0.5000 0.8754  4 Zn 2.73-2.77, 8 Pd 2.77-2.80
Pd 0.5000 0.0000 0.1246  4 Zn 2.73-2.77, 8 Pd 2.77-2.80
Pd 0.5000 0.0000 0.3787  2 W 2.74, 8 Pd 2.74-2.80, 2 Zn 2.87
Pd 0.5000 0.0000 0.6213  2 W 2.74, 8 Pd 2.74-2.80, 2 Zn 2.87
Pd 0.5000 0.0000 0.8754  4 Zn 2.73-2.77, 8 Pd 2.77-2.80
Pd 0.5000 0.5000 0.0000  4 Zn 2.77, 8 Pd 2.77
Pd 0.5000 0.5000 0.2520  4 Zn 2.77, 8 Pd 2.80
Pd 0.5000 0.5000 0.5000  8 Pd 2.74, 4 W 2.77
Pd 0.5000 0.5000 0.7480  4 Zn 2.77, 8 Pd 2.80
W 0.0000 0.0000 0.5000  12 Pd 2.74-2.77



No. 7
Material: Zn2PdW2
Method: DFT, PBE
State: optimized geometry

Results
Space group ... P4/mbm, No. 127
Energy above the most stable polymorph in this dataset ... 53 meV per atom
Uncorrected energy ... -62.2 eV per cell
Formation energy ... 514 meV/atom
M_tot ... 0.000 μB/cell

Cell: 7.7173 7.7173 2.7429 Å, 90.00 90.00 90.00°
Last column: nearest neighbours and their distance in Å.
Positions (direct):
Zn 0.1811 0.3189 0.0000  6 W 2.61-2.71, 2 Zn 2.74
Zn 0.3189 0.8189 0.0000  6 W 2.61-2.71, 2 Zn 2.74
Zn 0.6811 0.1811 0.0000  6 W 2.61-2.71, 2 Zn 2.74
Zn 0.8189 0.6811 0.0000  6 W 2.61-2.71, 2 Zn 2.74
Pd 0.0000 0.0000 0.5000  2 Pd 2.74
Pd 0.5000 0.5000 0.5000  2 Pd 2.74
W 0.1150 0.6150 0.5000  3 W 2.51-2.74, 6 Zn 2.61-2.71
W 0.3850 0.1150 0.5000  3 W 2.51-2.74, 6 Zn 2.61-2.71
W 0.6150 0.8850 0.5000  3 W 2.51-2.74, 6 Zn 2.61-2.71
W 0.8850 0.3850 0.5000  3 W 2.51-2.74, 6 Zn 2.61-2.71



No. 8
Material: Zn2PdW2
Method: DFT, PBE
State: optimized geometry

Results
Space group ... I4/mmm, No. 139
Energy above the most stable polymorph in this dataset ... 263 meV per atom
Uncorrected energy ... -30.0 eV per cell
Formation energy ... 723 meV/atom
M_tot ... 0.000 μB/cell

Cell: 7.2319 7.2319 7.2319 Å, 152.06 152.06 39.92°
Last column: nearest neighbours and their distance in Å.
Positions (direct):
Zn 0.2500 0.7500 0.5000  4 Zn 2.47
Zn 0.7500 0.2500 0.5000  4 Zn 2.47
Pd 0.0000 0.0000 0.0000  8 W 2.75
W 0.4103 0.4103 0.0000  1 W 2.44
W 0.5897 0.5897 0.0000  1 W 2.44



No. 9
Material: Zn2Pd9W
Method: DFT, PBE
State: optimized geometry

Results
Space group ... P4/mmm, No. 123
Uncorrected energy ... -65.3 eV per cell
Formation energy ... -255 meV/atom
M_tot ... 0.001 μB/cell

Cell: 3.9136 3.9136 11.8328 Å, 90.00 90.00 90.00°
Last column: nearest neighbours and their distance in Å.
Positions (direct):
Zn 0.0000 0.0000 0.1604  12 Pd 2.73-2.88
Zn 0.0000 0.0000 0.8396  12 Pd 2.73-2.88
Pd 0.0000 0.5000 0.0000  4 Zn 2.73, 8 Pd 2.77-2.81
Pd 0.0000 0.5000 0.3386  2 W 2.73, 8 Pd 2.73-2.79, 2 Zn 2.88
Pd 0.0000 0.5000 0.6614  8 Pd 2.73-2.79, 2 W 2.73, 2 Zn 2.88
Pd 0.5000 0.0000 0.0000  4 Zn 2.73, 8 Pd 2.77-2.81
Pd 0.5000 0.0000 0.3386  2 W 2.73, 8 Pd 2.73-2.79, 2 Zn 2.88
Pd 0.5000 0.0000 0.6614  8 Pd 2.73-2.79, 2 W 2.73, 2 Zn 2.88
Pd 0.5000 0.5000 0.1700  4 Zn 2.77, 8 Pd 2.79-2.81
Pd 0.5000 0.5000 0.5000  8 Pd 2.73, 4 W 2.77
Pd 0.5000 0.5000 0.8300  4 Zn 2.77, 8 Pd 2.79-2.81
W 0.0000 0.0000 0.5000  12 Pd 2.73-2.77



No. 10
Material: ZnPd2W
Method: DFT, PBE
State: optimized geometry

Results
Space group ... I-42d, No. 122
Uncorrected energy ... -45.0 eV per cell
Formation energy ... 530 meV/atom
M_tot ... 0.000 μB/cell

Cell: 5.6401 5.6401 5.6401 Å, 103.38 103.38 122.49°
Last column: nearest neighbours and their distance in Å.
Positions (direct):
Zn 0.0000 0.0000 0.0000  4 Pd 2.55, 2 W 2.71
Zn 0.7500 0.2500 0.5000  4 Pd 2.55, 2 W 2.71
Pd 0.1231 0.6250 0.9981  2 Zn 2.55, 2 W 2.57, 2 Pd 2.71
Pd 0.3750 0.3731 0.4981  2 Zn 2.55, 2 W 2.57, 2 Pd 2.71
Pd 0.6269 0.1250 0.0019  2 Zn 2.55, 2 W 2.57, 2 Pd 2.71
Pd 0.8750 0.8769 0.5019  2 Zn 2.55, 2 W 2.57, 2 Pd 2.71
W 0.2500 0.7500 0.5000  4 Pd 2.57, 2 Zn 2.71
W 0.5000 0.5000 0.0000  4 Pd 2.57, 2 Zn 2.71



No. 11
Material: ZnPd9W2
Method: DFT, PBE
State: optimized geometry

Results
Space group ... P4/mmm, No. 123
Uncorrected energy ... -75.2 eV per cell
Formation energy ... -104 meV/atom
M_tot ... 2.051 μB/cell

Cell: 3.9261 3.9261 11.8503 Å, 90.00 90.00 90.00°
Last column: nearest neighbours and their distance in Å.
Positions (direct):
Zn 0.0000 0.0000 0.0000  12 Pd 2.78-2.82
Pd 0.0000 0.5000 0.1707  2 W 2.70, 8 Pd 2.77-2.82, 2 Zn 2.82
Pd 0.0000 0.5000 0.5000  8 Pd 2.76-2.78, 4 W 2.84
Pd 0.0000 0.5000 0.8293  2 W 2.70, 8 Pd 2.77-2.82, 2 Zn 2.82
Pd 0.5000 0.0000 0.1707  2 W 2.70, 8 Pd 2.77-2.82, 2 Zn 2.82
Pd 0.5000 0.0000 0.5000  8 Pd 2.76-2.78, 4 W 2.84
Pd 0.5000 0.0000 0.8293  2 W 2.70, 8 Pd 2.77-2.82, 2 Zn 2.82
Pd 0.5000 0.5000 0.0000  4 Zn 2.78, 8 Pd 2.82
Pd 0.5000 0.5000 0.3360  8 Pd 2.76-2.77, 4 W 2.78
Pd 0.5000 0.5000 0.6640  8 Pd 2.76-2.77, 4 W 2.78
W 0.0000 0.0000 0.3265  12 Pd 2.70-2.84
W 0.0000 0.0000 0.6735  12 Pd 2.70-2.84



No. 12
Material: Zn2PdW2
Method: DFT, PBE
State: optimized geometry

Results
Space group ... I4/mmm, No. 139
Energy above the most stable polymorph in this dataset ... 73 meV per atom
Uncorrected energy ... -31.0 eV per cell
Formation energy ... 534 meV/atom
M_tot ... 0.000 μB/cell

Cell: 6.8616 6.8616 6.8616 Å, 149.28 149.28 44.00°
Last column: nearest neighbours and their distance in Å.
Positions (direct):
Zn 0.0916 0.0916 0.0000  1 Zn 2.33
Zn 0.9084 0.9084 0.0000  1 Zn 2.33
Pd 0.5000 0.5000 0.0000  8 Zn 2.82
W 0.2500 0.7500 0.5000  4 W 2.57, 4 Zn 2.71
W 0.7500 0.2500 0.5000  4 W 2.57, 4 Zn 2.71



No. 13
Material: ZnPd6W
Method: DFT, PBE
State: optimized geometry

Results
Space group ... P4/mmm, No. 123
Uncorrected energy ... -47.2 eV per cell
Formation energy ... -232 meV/atom
M_tot ... 0.000 μB/cell

Cell: 3.9235 3.9235 7.8573 Å, 90.00 90.00 90.00°
Last column: nearest neighbours and their distance in Å.
Positions (direct):
Zn 0.0000 0.0000 0.0000  12 Pd 2.77-2.81
Pd 0.0000 0.5000 0.2569  2 W 2.74, 8 Pd 2.74-2.81, 2 Zn 2.81
Pd 0.0000 0.5000 0.7431  2 W 2.74, 8 Pd 2.74-2.81, 2 Zn 2.81
Pd 0.5000 0.0000 0.2569  2 W 2.74, 8 Pd 2.74-2.81, 2 Zn 2.81
Pd 0.5000 0.0000 0.7431  2 W 2.74, 8 Pd 2.74-2.81, 2 Zn 2.81
Pd 0.5000 0.5000 0.0000  4 Zn 2.77, 8 Pd 2.81
Pd 0.5000 0.5000 0.5000  8 Pd 2.74, 4 W 2.77
W 0.0000 0.0000 0.5000  12 Pd 2.74-2.77



No. 14
Material: ZnPdW3
Method: DFT, PBE
State: optimized geometry

Results
Space group ... Pm-3m, No. 221
Energy above the most stable polymorph in this dataset ... 424 meV per atom
Uncorrected energy ... -33.7 eV per cell
Formation energy ... 2328 meV/atom
M_tot ... 0.000 μB/cell

Cell: 4.7299 4.7299 4.7299 Å, 90.00 90.00 90.00°
Last column: nearest neighbours and their distance in Å.
Positions (direct):
Zn 0.0000 0.0000 0.0000  12 W 3.34
Pd 0.5000 0.5000 0.5000  6 W 2.36
W 0.0000 0.5000 0.5000  2 Pd 2.36
W 0.5000 0.0000 0.5000  2 Pd 2.36
W 0.5000 0.5000 0.0000  2 Pd 2.36



No. 15
Material: ZnPd2W
Method: DFT, PBE
State: optimized geometry

Results
Space group ... R-3m, No. 166
Uncorrected energy ... -25.1 eV per cell
Formation energy ... -117 meV/atom
M_tot ... 0.000 μB/cell

Cell: 8.9350 8.9350 8.9350 Å, 18.19 18.19 18.19°
Last column: nearest neighbours and their distance in Å.
Positions (direct):
Zn 0.0000 0.0000 0.0000  6 Pd 2.68, 6 Zn 2.83
Pd 0.2525 0.2525 0.2525  3 Zn 2.68, 3 W 2.79, 6 Pd 2.83
Pd 0.7475 0.7475 0.7475  3 Zn 2.68, 3 W 2.79, 6 Pd 2.83
W 0.5000 0.5000 0.5000  6 Pd 2.79, 6 W 2.83



No. 16
Material: Zn2PdW2
Method: DFT, PBE
State: optimized geometry

Results
Space group ... P4/mbm, No. 127
Energy above the most stable polymorph in this dataset ... 0 meV per atom
Uncorrected energy ... -62.7 eV per cell
Formation energy ... 461 meV/atom
M_tot ... 0.000 μB/cell

Cell: 6.3429 6.3429 3.7829 Å, 90.00 90.00 90.00°
Last column: nearest neighbours and their distance in Å.
Positions (direct):
Zn 0.1375 0.3625 0.0000  2 Pd 2.46, 1 Zn 2.47, 6 W 2.64-2.66
Zn 0.3625 0.8625 0.0000  2 Pd 2.46, 1 Zn 2.47, 6 W 2.64-2.66
Zn 0.6375 0.1375 0.0000  2 Pd 2.46, 1 Zn 2.47, 6 W 2.64-2.66
Zn 0.8625 0.6375 0.0000  2 Pd 2.46, 1 Zn 2.47, 6 W 2.64-2.66
Pd 0.0000 0.0000 0.0000  4 Zn 2.46
Pd 0.5000 0.5000 0.0000  4 Zn 2.46
W 0.1572 0.6572 0.5000  6 Zn 2.64-2.66, 1 W 2.82
W 0.3428 0.1572 0.5000  6 Zn 2.64-2.66, 1 W 2.82
W 0.6572 0.8428 0.5000  6 Zn 2.64-2.66, 1 W 2.82
W 0.8428 0.3428 0.5000  6 Zn 2.64-2.66, 1 W 2.82



No. 17
Material: ZnPd3W
Method: DFT, PBE
State: optimized geometry

Results
Space group ... Pm-3m, No. 221
Energy above the most stable polymorph in this dataset ... 118 meV per atom
Uncorrected energy ... -23.9 eV per cell
Formation energy ... 1181 meV/atom
M_tot ... 0.000 μB/cell

Cell: 4.8303 4.8303 4.8303 Å, 90.00 90.00 90.00°
Last column: nearest neighbours and their distance in Å.
Positions (direct):
Zn 0.0000 0.0000 0.0000  12 Pd 3.42
Pd 0.0000 0.5000 0.5000  2 W 2.42
Pd 0.5000 0.0000 0.5000  2 W 2.42
Pd 0.5000 0.5000 0.0000  2 W 2.42
W 0.5000 0.5000 0.5000  6 Pd 2.42



No. 18
Material: ZnPd2W
Method: DFT, PBE
State: optimized geometry

Results
Space group ... P4/mmm, No. 123
Uncorrected energy ... -25.5 eV per cell
Formation energy ... -224 meV/atom
M_tot ... 0.000 μB/cell

Cell: 2.7851 2.7851 7.6874 Å, 90.00 90.00 90.00°
Last column: nearest neighbours and their distance in Å.
Positions (direct):
Zn 0.0000 0.0000 0.0000  8 Pd 2.70, 4 Zn 2.79
Pd 0.5000 0.5000 0.2400  4 Zn 2.70, 4 Pd 2.79, 4 W 2.81
Pd 0.5000 0.5000 0.7600  4 Zn 2.70, 4 Pd 2.79, 4 W 2.81
W 0.0000 0.0000 0.5000  4 W 2.79, 8 Pd 2.81



No. 19
Material: ZrPdW2
Method: DFT, PBE
State: optimized geometry

Results
Space group ... Fm-3m, No. 225
Energy above the most stable polymorph in this dataset ... 0 meV per atom
Uncorrected energy ... -37.9 eV per cell
Formation energy ... 435 meV/atom
M_tot ... 0.000 μB/cell

Cell: 4.5926 4.5926 4.5926 Å, 60.00 60.00 60.00°
Last column: nearest neighbours and their distance in Å.
Positions (direct):
Zr 0.0000 0.0000 0.0000  8 W 2.81
Pd 0.5000 0.5000 0.5000  8 W 2.81
W 0.2500 0.2500 0.2500  4 Pd 2.81, 4 Zr 2.81
W 0.7500 0.7500 0.7500  4 Zr 2.81, 4 Pd 2.81



No. 20
Material: Zr2PdW
Method: DFT, PBE
State: optimized geometry

Results
Space group ... Fm-3m, No. 225
Energy above the most stable polymorph in this dataset ... 84 meV per atom
Uncorrected energy ... -36.2 eV per cell
Formation energy ... -232 meV/atom
M_tot ... 0.000 μB/cell

Cell: 4.7292 4.7292 4.7292 Å, 60.00 60.00 60.00°
Last column: nearest neighbours and their distance in Å.
Positions (direct):
Zr 0.2500 0.2500 0.2500  4 W 2.90, 4 Pd 2.90
Zr 0.7500 0.7500 0.7500  4 W 2.90, 4 Pd 2.90
Pd 0.0000 0.0000 0.0000  8 Zr 2.90
W 0.5000 0.5000 0.5000  8 Zr 2.90